VASP calculation (GGA-PBE) on crystalline TlHgF3 at its relaxed geometry.

Cell and atoms, written as POSCAR:
```
TlHgF3
1.0
-2.7954 1.1601 3.3961
2.1215 -1.8730 2.3870
4.0939 3.7791 1.9785
Tl Hg F
1 1 3
direct
0.3257 0.2432 0.4268 Tl
0.8319 0.5142 0.9115 Hg
0.8292 0.1511 0.6518 F
0.3297 0.5877 0.7687 F
0.8318 0.8817 0.1600 F
```

Density of states at the Fermi level: 0.0000 states/eV/atom
Calculated total energy: -3.2252 eV/atom
Space group: P1, No. 1